Density functional theory data (GGA-PBE) for a relaxed structure of U2Ga5Cu3.

The density of states at the Fermi level comes out at 1.282 states/eV/atom. The symmetry is No. 36. The formation energy from the elements is -0.123 eV/atom. The value obtained for the total energy is -0.377 Ry/atom. The polymorph energy (0 for the lowest one) is 0.0 meV per atom. The value obtained for the theoretical density is 9786 kg/m3.

Cell: 4.402 6.397 12.431 Å, 90.00 100.20 90.00°
Site moments in Bohr magnetons follow the coordinates.
Element x y z (fractional)
1 Cu 0.393 0.022 0.786  0.00
2 Cu 0.053 0.952 0.107  0.03
3 Cu 0.778 0.724 0.556  0.01
4 Cu 0.947 0.452 0.893  0.03
5 Cu 0.607 0.522 0.214  0.00
6 Cu 0.222 0.224 0.444  0.01
7 U 0.509 0.246 0.018  2.34
8 U 0.170 0.733 0.340  2.16
9 U 0.491 0.746 0.982  2.34
10 U 0.830 0.233 0.660  2.16
11 Ga 0.052 0.544 0.104  -0.02
12 Ga 0.287 0.522 0.574  -0.01
13 Ga 0.713 0.022 0.426  -0.01
14 Ga 0.394 0.443 0.789  -0.01
15 Ga 0.123 0.242 0.246  -0.01
16 Ga 0.708 0.435 0.416  -0.01
17 Ga 0.948 0.044 0.896  -0.02
18 Ga 0.606 0.943 0.211  -0.01
19 Ga 0.877 0.742 0.754  -0.01
20 Ga 0.292 0.935 0.584  -0.01